(1)
Computed, not measured: crystalline La2CuP4Rh3 at its relaxed geometry at the PBE level of DFT.

Calculated values
The value obtained for the density of states at the Fermi level is 4.1 states/eV per cell. The energy of formation comes out at -1.034 eV per atom. The space group is P-4m2 (115).

Unit cell a=4.2458 b=4.2458 c=9.5366 alpha=90.00 beta=90.00 gamma=90.00
Sites, in units of the cell vectors:
P 0.5000 0.0000 0.6339
P 0.5000 0.5000 0.0000
P 0.0000 0.0000 0.0000
P 0.0000 0.5000 0.3661
Rh 0.0000 0.0000 0.5000
Rh 0.0000 0.5000 0.1104
Rh 0.5000 0.0000 0.8896
Cu 0.5000 0.5000 0.5000
La 0.0000 0.5000 0.7543
La 0.5000 0.0000 0.2457



(2)
Computed, not measured: crystalline LaCuP2Rh at its relaxed geometry at the PBE level of DFT.

Calculated values
The value obtained for the density of states at the Fermi level is 2.0 states/eV per cell. The energy of formation comes out at -0.900 eV per atom. The space group is I-4m2 (119).

Unit cell a=4.0871 b=4.0871 c=5.7856 alpha=110.68 beta=110.68 gamma=90.00
Sites, in units of the cell vectors:
Cu 0.2500 0.7500 0.5000
Rh 0.7500 0.2500 0.5000
P 0.6196 0.6196 0.2392
P 0.3804 0.3804 0.7608
La 0.0000 0.0000 0.0000



(3)
Computed, not measured: crystalline LaCu2PRu at its relaxed geometry at the PBE level of DFT.

Calculated values
The value obtained for the density of states at the Fermi level is 4.6 states/eV per cell. The energy of formation comes out at 1.630 eV per atom. The space group is P4/mmm (123).

Unit cell a=5.0842 b=4.7173 c=5.0842 alpha=90.00 beta=90.00 gamma=90.00
Sites, in units of the cell vectors:
Ru 0.0000 0.5000 0.0000
Cu 0.0000 0.0000 0.5000
Cu 0.5000 0.0000 0.0000
P 0.5000 0.5000 0.5000
La 0.0000 0.0000 0.0000



(4)
Computed, not measured: crystalline LaCuPS2 at its relaxed geometry at the PBE level of DFT.

Calculated values
The value obtained for the density of states at the Fermi level is 3.4 states/eV per cell. The space group is P4/mmm (123). As for the formation energy (no corrections): -0.64 eV/atom. The energy above the lowest structure with this stoichiometry is 0.000 eV per atom.

Unit cell a=4.6781 b=4.6781 c=4.4903 alpha=90.00 beta=90.00 gamma=90.00
Sites, in units of the cell vectors:
La 0.5000 0.5000 0.5000
S 0.0000 0.5000 0.0000
S 0.5000 0.0000 0.0000
P 0.0000 0.0000 0.5000
Cu 0.0000 0.0000 0.0000



Repeat the fourth record exactly.
Computed, not measured: crystalline LaCuPS2 at its relaxed geometry at the PBE level of DFT.

Calculated values
The value obtained for the density of states at the Fermi level is 3.4 states/eV per cell. The space group is P4/mmm (123). As for the formation energy (no corrections): -0.64 eV/atom. The energy above the lowest structure with this stoichiometry is 0.000 eV per atom.

Unit cell a=4.6781 b=4.6781 c=4.4903 alpha=90.00 beta=90.00 gamma=90.00
Sites, in units of the cell vectors:
La 0.5000 0.5000 0.5000
S 0.0000 0.5000 0.0000
S 0.5000 0.0000 0.0000
P 0.0000 0.0000 0.5000
Cu 0.0000 0.0000 0.0000